Entry from Alexandria via LeMat-Bulk: an optimized crystal structure of NiBiTe3 (PBE).

a b c (Å): 5.080 5.080 5.080
angles (deg): 90.00 90.00 90.00
Positions (direct):
Ni (0.000, 0.000, 0.000)
Bi (0.500, 0.500, 0.500)
Te (0.000, 0.000, 0.500)
Te (0.000, 0.500, 0.000)
Te (0.500, 0.000, 0.000)

Properties
Formation energy without anion corrections, eV per atom: 0.160
Energy above the lowest structure with this stoichiometry, meV/atom: 0.0
Density, Mg/m³: 8.24

---

Entry from Alexandria via LeMat-Bulk: an optimized crystal structure of Ce4Te3Ir (PBE).

a b c (Å): 7.810 8.858 7.471
angles (deg): 90.00 109.40 90.00
Positions (direct):
Ce (0.213, 0.109, 0.005)
Ce (0.213, 0.891, 0.505)
Ce (0.231, 0.351, 0.478)
Ce (0.231, 0.649, 0.978)
Ce (0.769, 0.351, 0.022)
Ce (0.769, 0.649, 0.522)
Ce (0.787, 0.109, 0.495)
Ce (0.787, 0.891, 0.995)
Te (0.000, 0.378, 0.750)
Te (0.000, 0.622, 0.250)
Te (0.500, 0.123, 0.750)
Te (0.500, 0.381, 0.250)
Te (0.500, 0.619, 0.750)
Te (0.500, 0.877, 0.250)
Ir (0.000, 0.122, 0.250)
Ir (0.000, 0.878, 0.750)

Properties
Formation energy without anion corrections, eV per atom: -1.186
Density, Mg/m³: 7.74

---

Which of these has the highest density?
NiBiTe3

---

What is the density in the first record?
8.24 Mg/m³

---

Among the records above, which one has the highest formation energy without anion corrections?
NiBiTe3

---

density of number 1 (NiBiTe3)?
8.24 Mg/m³